No. 1
{
  "formula": "LaZrCd2",
  "functional": "GGA-PBE",
  "state": "relaxed",
  "cell": [[-3.519, -3.892, 2.590], [1.763, -5.528, -0.756], [2.647, 4.906, 1.781]],
  "species": ["Cd", "Cd", "La", "Zr"],
  "frac_coords": [[0.000, 0.000, 0.000], [0.250, 0.750, 0.500], [0.500, 0.500, 0.000], [0.750, 0.250, 0.500]],
  "spacegroup": "I-4m2, No. 119",
  "relative_energy_mev_per_atom": 178.7,
  "magnetic_moment_mub_per_cell": 0.04,
  "formation_enthalpy_0k_mev_per_atom": 11,
  "crystal_system": "tetragonal"
}

No. 2
{
  "formula": "Rb2TcBr5F",
  "functional": "GGA-PBE",
  "state": "relaxed",
  "cell": [[-3.997, 5.807, 2.544], [-3.122, -6.813, -0.064], [5.817, -2.458, 4.037]],
  "species": ["Rb", "Rb", "Tc", "Br", "Br", "Br", "Br", "Br", "F"],
  "frac_coords": [[0.500, 0.744, 0.244], [0.500, 0.244, 0.744], [0.000, 0.995, 0.995], [0.473, 0.229, 0.229], [0.527, 0.757, 0.757], [0.000, 0.237, 0.237], [0.000, 0.229, 0.757], [0.000, 0.757, 0.229], [0.000, 0.807, 0.807]],
  "spacegroup": "I4mm, No. 107",
  "e_form_raw_ev_per_atom": -1.291,
  "magnetic_moment_mub_per_cell": 3.00,
  "crystal_system": "tetragonal"
}

No. 3
{
  "formula": "Pu2AgS6",
  "functional": "GGA-PBE",
  "state": "relaxed",
  "cell": [[6.320, 0.000, 0.000], [0.000, 6.320, 0.000], [0.000, 0.000, 11.256]],
  "species": ["S", "S", "S", "S", "S", "S", "S", "S", "S", "S", "S", "S", "Pu", "Pu", "Pu", "Pu", "Ag", "Ag"],
  "frac_coords": [[0.706, 0.706, 0.338], [0.706, 0.706, 0.662], [0.817, 0.183, 0.500], [0.317, 0.317, 0.000], [0.183, 0.817, 0.500], [0.294, 0.294, 0.662], [0.794, 0.206, 0.838], [0.206, 0.794, 0.838], [0.206, 0.794, 0.162], [0.794, 0.206, 0.162], [0.294, 0.294, 0.338], [0.683, 0.683, 0.000], [0.000, 0.000, 0.324], [0.500, 0.500, 0.176], [0.000, 0.000, 0.676], [0.500, 0.500, 0.824], [0.000, 0.000, 0.000], [0.500, 0.500, 0.500]],
  "spacegroup": "P4_2/mnm, No. 136",
  "e_form_raw_ev_per_atom": -0.702,
  "magnetic_moment_mub_per_cell": 10.90,
  "crystal_system": "tetragonal"
}

No. 4
{
  "formula": "DyLuSc2",
  "functional": "GGA-PBE",
  "state": "relaxed",
  "cell": [[-4.449, -1.343, 0.742], [1.262, -4.591, -0.744], [0.936, -0.504, 4.700]],
  "species": ["Lu", "Sc", "Sc", "Dy"],
  "frac_coords": [[0.500, 0.000, 0.000], [0.000, 0.500, 0.000], [0.000, 0.000, 0.500], [0.500, 0.500, 0.500]],
  "spacegroup": "P4/mmm, No. 123",
  "relative_energy_mev_per_atom": 0.0,
  "magnetic_moment_mub_per_cell": 0.00,
  "formation_enthalpy_0k_mev_per_atom": 54,
  "crystal_system": "tetragonal"
}

No. 5
{
  "formula": "Si2PAuC",
  "functional": "GGA-PBE",
  "state": "relaxed",
  "cell": [[4.271, -0.001, 0.001], [1.129, 4.195, -0.001], [1.155, 1.127, 4.734]],
  "species": ["C", "P", "Si", "Si", "Au"],
  "frac_coords": [[0.520, 0.708, 0.184], [0.689, 0.893, 0.401], [0.171, 0.507, 0.406], [0.888, 0.345, 0.137], [0.316, 0.084, 0.809]],
  "spacegroup": "P1, No. 1",
  "relative_energy_mev_per_atom": 32.6,
  "e_form_raw_ev_per_atom": 0.235,
  "magnetic_moment_mub_per_cell": 0.00,
  "crystal_system": "triclinic"
}

No. 6
{
  "formula": "MnBiAu2Cl",
  "functional": "GGA-PBE",
  "state": "relaxed",
  "cell": [[-4.190, -0.523, 2.388], [-0.839, -4.439, -2.444], [2.312, -2.384, 3.536]],
  "species": ["Mn", "Au", "Au", "Bi", "Cl"],
  "frac_coords": [[0.000, 0.000, 0.000], [0.000, 0.000, 0.500], [0.500, 0.000, 0.000], [0.000, 0.500, 0.000], [0.500, 0.500, 0.500]],
  "spacegroup": "P4/mmm, No. 123",
  "e_form_raw_ev_per_atom": 0.690,
  "magnetic_moment_mub_per_cell": 0.00,
  "crystal_system": "tetragonal"
}

No. 7
{
  "formula": "Ti5Cr2As5",
  "functional": "GGA-PBE",
  "state": "relaxed",
  "cell": [[-4.535, 2.997, 1.382], [-4.800, -3.456, 3.123], [0.253, 2.841, 6.050]],
  "species": ["As", "As", "As", "As", "As", "Ti", "Ti", "Ti", "Ti", "Ti", "Cr", "Cr"],
  "frac_coords": [[0.421, 0.000, 0.000], [0.998, 0.282, 0.718], [0.998, 0.718, 0.282], [0.279, 0.718, 0.718], [0.716, 0.282, 0.282], [0.147, 0.414, 0.000], [0.147, 0.000, 0.414], [0.562, 0.586, 0.000], [0.562, 0.000, 0.586], [0.872, 0.000, 0.000], [0.245, 0.500, 0.500], [0.745, 0.500, 0.500]],
  "spacegroup": "I4mm, No. 107",
  "magnetic_moment_mub_per_cell": 2.81,
  "formation_enthalpy_0k_mev_per_atom": -420,
  "crystal_system": "tetragonal"
}

No. 8
{
  "formula": "SiSe2N2",
  "functional": "GGA-PBE",
  "state": "relaxed",
  "cell": [[-0.845, -3.173, 1.268], [1.407, 0.867, 3.107], [-6.304, 2.536, 2.146]],
  "species": ["N", "N", "Se", "Se", "Si"],
  "frac_coords": [[0.500, 0.000, 0.000], [0.000, 0.500, 0.000], [0.500, 0.500, 0.500], [0.000, 0.000, 0.500], [0.000, 0.000, 0.000]],
  "spacegroup": "P4/mmm, No. 123",
  "relative_energy_mev_per_atom": 0.0,
  "e_form_raw_ev_per_atom": 0.617,
  "magnetic_moment_mub_per_cell": 0.00,
  "crystal_system": "tetragonal"
}